(i)
LaPb2Au: relaxed, PBE-GGA.

a b c (Å): 4.579 4.579 11.973
angles (deg): 78.98 78.98 90.00
Atoms (fractional coordinates):
Pb 0.642 0.125 0.250
Pb 0.108 0.625 0.250
Pb 0.375 0.358 0.750
Pb 0.875 0.892 0.750
Au 0.000 0.000 0.000
Au 0.750 0.250 0.500
La 0.500 0.500 0.000
La 0.250 0.750 0.500

Calculated values
ρ (g/cm³): 10.31
N(E_F) (states/eV/atom): 0.84
M_tot (μB/atom): 0.00

(ii)
LaPb2Au: relaxed, PBE-GGA.

a b c (Å): 10.035 10.035 10.035
angles (deg): 21.26 21.26 21.26
Atoms (fractional coordinates):
Au 0.250 0.250 0.250
La 0.750 0.750 0.750
Pb 0.987 0.987 0.987
Pb 0.513 0.513 0.513

Calculated values
ρ (g/cm³): 10.70
N(E_F) (states/eV/atom): 1.22
M_tot (μB/atom): 0.00

Short version: (i) is the most stable of them.

(i)
LaPb2Au: relaxed, PBE-GGA.

a b c (Å): 4.811 4.809 4.754
angles (deg): 90.00 90.00 90.00
Atoms (fractional coordinates):
Pb 0.000 0.000 0.000
Pb 0.500 0.500 0.000
Au 0.500 0.000 0.500
La 0.000 0.500 0.500

Calculated values
ρ (g/cm³): 11.33
N(E_F) (states/eV/atom): 0.57
M_tot (μB/atom): 0.00

(ii)
LaPb2Au: relaxed, PBE-GGA.

a b c (Å): 3.871 3.865 7.647
angles (deg): 90.00 90.00 90.00
Atoms (fractional coordinates):
Au 0.000 0.000 0.505
La 0.500 0.500 0.717
Pb 0.000 0.000 0.015
Pb 0.500 0.500 0.263

Calculated values
ρ (g/cm³): 10.89
N(E_F) (states/eV/atom): 0.90
M_tot (μB/atom): 0.00

Short version: (i) is the most stable of them.

(i)
LaPbAu4: relaxed, PBE-GGA.

a b c (Å): 3.980 10.768 13.919
angles (deg): 90.00 90.00 90.00
Atoms (fractional coordinates):
La 0.000 0.619 0.380
La 0.000 0.381 0.620
La 0.000 0.119 0.120
La 0.000 0.881 0.880
Pb 0.000 0.614 0.089
Pb 0.000 0.386 0.911
Pb 0.000 0.114 0.411
Pb 0.000 0.886 0.589
Au 0.500 0.742 0.229
Au 0.500 0.258 0.771
Au 0.500 0.242 0.271
Au 0.500 0.758 0.729
Au 0.500 0.892 0.062
Au 0.500 0.108 0.938
Au 0.500 0.392 0.438
Au 0.500 0.608 0.562
Au 0.500 0.835 0.430
Au 0.500 0.165 0.570
Au 0.500 0.335 0.070
Au 0.500 0.665 0.930
Au 0.500 0.987 0.264
Au 0.500 0.013 0.736
Au 0.500 0.487 0.236
Au 0.500 0.513 0.764

Calculated values
ρ (g/cm³): 12.63
N(E_F) (states/eV/atom): 0.37
M_tot (μB/atom): 0.00

(ii)
LaPbAu4: relaxed, PBE-GGA.

a b c (Å): 5.754 5.754 5.754
angles (deg): 60.00 60.00 60.00
Atoms (fractional coordinates):
Au 0.125 0.625 0.625
Au 0.625 0.625 0.625
Au 0.625 0.125 0.625
Au 0.625 0.625 0.125
La 0.250 0.250 0.250
Pb 0.000 0.000 0.000

Calculated values
ρ (g/cm³): 13.98
N(E_F) (states/eV/atom): 0.44
M_tot (μB/atom): 0.00

Short version: (ii) is the most stable of them.

(i)
LaPb2Au9: relaxed, PBE-GGA.

a b c (Å): 5.708 5.708 18.644
angles (deg): 90.00 90.00 120.00
Atoms (fractional coordinates):
La 0.333 0.667 0.750
La 0.667 0.333 0.250
Pb 0.333 0.667 0.533
Pb 0.667 0.333 0.033
Pb 0.667 0.333 0.467
Pb 0.333 0.667 0.967
Au 0.000 0.000 0.000
Au 0.000 0.000 0.500
Au 0.000 0.000 0.250
Au 0.000 0.000 0.750
Au 0.333 0.667 0.250
Au 0.667 0.333 0.750
Au 0.168 0.336 0.125
Au 0.664 0.832 0.125
Au 0.168 0.832 0.125
Au 0.832 0.664 0.625
Au 0.336 0.168 0.625
Au 0.832 0.168 0.625
Au 0.336 0.168 0.875
Au 0.832 0.664 0.875
Au 0.832 0.168 0.875
Au 0.664 0.832 0.375
Au 0.168 0.336 0.375
Au 0.168 0.832 0.375

Calculated values
ρ (g/cm³): 14.68
N(E_F) (states/eV/atom): 0.68
M_tot (μB/atom): 0.00

(ii)
LaPb2Au9: relaxed, PBE-GGA.

a b c (Å): 5.682 5.682 9.961
angles (deg): 73.43 73.43 60.00
Atoms (fractional coordinates):
La 0.000 0.000 0.000
Pb 0.854 0.854 0.438
Pb 0.146 0.146 0.562
Au 0.667 0.667 0.999
Au 0.333 0.333 0.001
Au 0.500 0.500 0.500
Au 0.416 0.416 0.249
Au 0.919 0.416 0.249
Au 0.416 0.919 0.249
Au 0.584 0.584 0.751
Au 0.584 0.081 0.751
Au 0.081 0.584 0.751

Calculated values
ρ (g/cm³): 14.69
N(E_F) (states/eV/atom): 0.55
M_tot (μB/atom): 0.00

Short version: (ii) is the most stable of them.

(i)
LaPb3Au: relaxed, PBE-GGA.

a b c (Å): 6.130 6.130 6.130
angles (deg): 90.00 90.00 90.00
Atoms (fractional coordinates):
Pb 0.000 0.500 0.000
Pb 0.000 0.000 0.500
Pb 0.500 0.000 0.000
Au 0.500 0.500 0.500
La 0.000 0.000 0.000

Calculated values
ρ (g/cm³): 6.90
N(E_F) (states/eV/atom): 1.01
M_tot (μB/atom): 0.00

(ii)
LaPb3Au: relaxed, PBE-GGA.

a b c (Å): 5.552 5.552 5.552
angles (deg): 90.00 90.00 90.00
Atoms (fractional coordinates):
Pb 0.000 0.500 0.000
Pb 0.000 0.000 0.500
Pb 0.500 0.000 0.000
Au 0.000 0.000 0.000
La 0.500 0.500 0.500

Calculated values
ρ (g/cm³): 9.29
N(E_F) (states/eV/atom): 0.87
M_tot (μB/atom): 0.00

Short version: (ii) is the most stable of them.

(i)
LaPd2Au2: relaxed, PBE-GGA.

a b c (Å): 7.388 7.388 3.693
angles (deg): 90.00 90.00 90.00
Atoms (fractional coordinates):
Au 0.159 0.659 0.500
Au 0.659 0.841 0.500
Au 0.841 0.341 0.500
Au 0.341 0.159 0.500
Pd 0.365 0.865 0.000
Pd 0.865 0.635 0.000
Pd 0.635 0.135 0.000
Pd 0.135 0.365 0.000
La 0.000 0.000 0.000
La 0.500 0.500 0.000

Calculated values
ρ (g/cm³): 12.29
N(E_F) (states/eV/atom): 0.44
M_tot (μB/atom): 0.00

(ii)
LaPd2Au2: relaxed, PBE-GGA.

a b c (Å): 7.689 7.689 3.405
angles (deg): 90.00 90.00 90.00
Atoms (fractional coordinates):
Au 0.371 0.871 0.000
Au 0.871 0.629 0.000
Au 0.629 0.129 0.000
Au 0.129 0.371 0.000
Pd 0.167 0.667 0.500
Pd 0.667 0.833 0.500
Pd 0.833 0.333 0.500
Pd 0.333 0.167 0.500
La 0.000 0.000 0.000
La 0.500 0.500 0.000

Calculated values
ρ (g/cm³): 12.30
N(E_F) (states/eV/atom): 0.41
M_tot (μB/atom): 0.00

Short version: (i) is the most stable of them.